Here is a relaxed structure of LuBiB2 from the Open Quantum Materials Database. Energies are from PBE.

Output
Total moment in Bohr magnetons per cell: 0.127
Calculated volume in Å³ per cell: 304.7
VASP energy in eV per atom: -4.012

Unit cell a=6.7295 b=6.7295 c=6.7295 alpha=90.00 beta=90.00 gamma=90.00
Last column: nearest neighbours and their distance in Å.
Space group F-43m (No. 216)
Inequivalent atoms, fractional coordinates:
Lu1 0.0000 0.0000 0.0000  4 B 2.91, 4 Bi 2.91
Bi1 0.2500 0.2500 0.7500  4 B 2.91, 4 Lu 2.91
B1 0.0000 0.0000 0.5000  4 Bi 2.91, 4 B 2.91
B2 0.2500 0.2500 0.2500  4 B 2.91, 4 Lu 2.91